First-principles (PBE) data for crystalline Ca2CoSbTe at its relaxed geometry, as listed in the Alexandria database.

Cell: 5.542 4.595 5.542 Å, 90.00 90.00 90.00°
Fractional positions:
Ca  0.500  0.000  0.000
Co  0.000  0.000  0.000
Ca  0.000  0.000  0.500
Sb  0.000  0.500  0.000
Te  0.500  0.500  0.500

Results
ΔE_f (raw) ... -0.54 eV/atom
Crystal system ... tetragonal